An optimized crystal structure of PmWO4, computed with PBE+U.

a = 6.029 Å, b = 6.029 Å, c = 6.029 Å
α = 111.36°, β = 105.94°, γ = 111.17°
Fractional positions:
Pm (0.442, 0.192, 0.250)
Pm (0.558, 0.808, 0.750)
W (0.000, 0.000, 0.500)
W (0.000, 0.500, 0.000)
O (0.130, 0.210, 0.920)
O (0.210, 0.790, 0.420)
O (0.278, 0.320, 0.542)
O (0.278, 0.736, 0.958)
O (0.722, 0.264, 0.042)
O (0.722, 0.680, 0.458)
O (0.790, 0.210, 0.580)
O (0.870, 0.790, 0.080)

Offset from the most stable computed form = 0 meV per atom
V = 168.2 Å³/cell